No. 1
Material: Rb2LiTeSe
Method: DFT, GGA-PBE
State: relaxed

Computed properties:
For the uncorrected formation energy, the calculation gives -0.79 eV per atom.

a b c (Å): 6.737 6.737 4.614
angles (deg): 90.00 90.00 90.00
Space group P4/mmm (No. 123)
Asymmetric unit:
Rb  0.000  0.500  0.000
Li  0.000  0.000  0.500
Te  0.500  0.500  0.500
Se  0.000  0.000  0.000

=====

No. 2
Material: ZrFe2Br
Method: DFT, GGA-PBE
State: relaxed

Computed properties:
For the uncorrected formation energy, the calculation gives 0.16 eV per atom.

a b c (Å): 3.543 3.426 6.346
angles (deg): 90.00 92.04 90.00
Space group P2/m (No. 10)
Asymmetric unit:
Zr  0.000  0.000  0.000
Fe  0.490  0.500  0.817
Br  0.500  0.000  0.500

=====

No. 3
Material: Lu5Pa3H12
Method: DFT, GGA-PBE
State: relaxed

Computed properties:
As for the total energy: -0.3621 Ry per atom.

a b c (Å): 12.728 12.728 12.728
angles (deg): 90.00 90.00 90.00
Space group Ia-3d (No. 230)
Asymmetric unit:
Lu  0.000  0.000  0.000
Lu  0.000  0.250  0.375
Pa  0.000  0.250  0.125
H  0.003  0.073  0.653